# Li4Co7O2F14 (PBE+U, optimized geometry)
# * E: -5.101 eV per atom
# * total magnetic moment: 21.0 μB/cell
# * density of states at the Fermi level: 0.00 states/eV/cell
# * SG: No. 2
# * density: 3.827 g/cm³
data_Li4Co7O2F14
_chemical_formula_sum 'Li4 Co7 O2 F14'
_space_group_name_H-M_alt 'P 1'
_space_group_IT_number 1
_space_group_name_Hall 'P 1'
_cell_length_a 5.9657
_cell_length_b 6.1906
_cell_length_c 10.4320
_cell_angle_alpha 73.44
_cell_angle_beta 104.30
_cell_angle_gamma 118.99
loop_
_atom_site_label
_atom_site_fract_x
_atom_site_fract_y
_atom_site_fract_z
_atom_site_occupancy
Li1 0.4596 0.5880 0.3201 1
Li2 0.0227 0.8848 0.1866 1
Li3 0.5404 0.4120 0.6799 1
Li4 0.9773 0.1152 0.8134 1
Co1 0.5000 0.0000 0.0000 1
Co2 0.7318 0.2567 0.2497 1
Co3 0.0000 0.5000 0.0000 1
Co4 0.0000 0.0000 0.5000 1
Co5 0.5000 0.5000 0.0000 1
Co6 0.0000 0.5000 0.5000 1
Co7 0.2682 0.7433 0.7503 1
O1 0.1634 0.4277 0.8867 1
O2 0.8366 0.5723 0.1133 1
F1 0.1519 0.8864 0.8802 1
F2 0.3690 0.1124 0.1232 1
F3 0.9056 0.1502 0.6175 1
F4 0.6635 0.9156 0.3705 1
F5 0.6186 0.3509 0.8774 1
F6 0.3814 0.6491 0.1226 1
F7 0.6522 0.3964 0.3786 1
F8 0.1136 0.3665 0.3761 1
F9 0.6310 0.8876 0.8768 1
F10 0.8864 0.6335 0.6239 1
F11 0.3478 0.6036 0.6214 1
F12 0.8481 0.1136 0.1198 1
F13 0.3366 0.0844 0.6295 1
F14 0.0944 0.8498 0.3825 1